[1]
# SbPbW

An optimized crystal structure of SbPbW (PBE, Alexandria).

The structure in POSCAR format:
```
SbPbW
1.0
3.296 0.000 0.000
-1.648 2.855 0.000
0.000 0.000 7.807
Pb Sb W
1 1 1
direct
0.000 0.000 0.952 Pb
0.333 0.667 0.396 Sb
0.667 0.333 0.652 W
```

Properties
* N(E_F): 2.21 states/eV/f.u.
* energy relative to the lowest polymorph listed for this composition: 0 meV/atom
* formation energy (no corrections): 0.5835 eV per atom

***

[2]
# SbPb3W

An optimized crystal structure of SbPb3W (PBE, Alexandria).

The structure in POSCAR format:
```
SbPb3W
1.0
-3.886 -0.985 -3.698
-3.435 -1.425 3.990
-1.687 5.172 0.395
Pb Sb W
3 1 1
direct
0.000 0.500 0.000 Pb
0.000 0.000 0.500 Pb
0.500 0.000 0.000 Pb
0.500 0.500 0.500 Sb
0.000 0.000 0.000 W
```

Properties
* N(E_F): 3.27 states/eV/f.u.
* energy relative to the lowest polymorph listed for this composition: 0 meV/atom
* formation energy (no corrections): 0.7816 eV per atom

***

[3]
# SbPb2W

An optimized crystal structure of SbPb2W (PBE, Alexandria).

The structure in POSCAR format:
```
SbPb2W
1.0
5.109 0.000 0.000
0.000 5.109 0.000
0.000 0.000 3.749
Pb Sb W
2 1 1
direct
0.000 0.000 0.000 Pb
0.500 0.500 0.000 Pb
0.500 0.000 0.500 Sb
0.000 0.500 0.500 W
```

Properties
* N(E_F): 3.15 states/eV/f.u.
* formation energy (no corrections): 1.0363 eV per atom

***

[4]
# SbPbW3

An optimized crystal structure of SbPbW3 (PBE, Alexandria).

The structure in POSCAR format:
```
SbPbW3
1.0
-0.135 -3.638 -3.475
-2.060 -3.132 3.359
-4.590 1.513 -1.405
Pb Sb W
1 1 3
direct
0.000 0.000 0.000 Pb
0.500 0.500 0.500 Sb
0.000 0.500 0.000 W
0.000 0.000 0.500 W
0.500 0.000 0.000 W
```

Properties
* N(E_F): 9.01 states/eV/f.u.
* energy relative to the lowest polymorph listed for this composition: 621 meV/atom
* formation energy (no corrections): 3.0521 eV per atom